# 1
Na2U2BeS6: optimized geometry, GGA-PBE.

Results
- raw total energy (eV/atom) = -6.04
- D(E_F) (states/eV per atom) = 1.15
- theoretical density (g/cm3) = 4.46
- total magnetization (μB/cell) = 8.0

Cell lengths 6.555, 12.223, 7.014 Å; angles 90.00, 106.47, 90.00 degrees
Space group C2/m (No. 12)
One atom of each set of equivalent atoms:
Na 0.000 0.159 0.000 (multiplicity 4)
U 0.000 0.336 0.500 (multiplicity 4)
Be 0.000 0.000 0.500 (multiplicity 2)
S 0.206 0.000 0.327 (multiplicity 4)
S 0.242 0.182 0.726 (multiplicity 8)


# 2
DyTmNiRh: optimized geometry, GGA-PBE.

Results
- D(E_F) (states/eV per atom) = 0.43
- theoretical density (g/cm3) = 10.55
- ΔH_f (0 K) (eV per atom) = -0.666
- total magnetization (μB/cell) = 0.0

Cell lengths 6.772, 6.772, 6.772 Å; angles 90.00, 90.00, 90.00 degrees
Space group F-43m (No. 216)
One atom of each set of equivalent atoms:
Dy 0.000 0.000 0.000 (multiplicity 4)
Tm 0.000 0.000 0.500 (multiplicity 4)
Ni 0.250 0.250 0.250 (multiplicity 4)
Rh 0.250 0.250 0.750 (multiplicity 4)


# 3
Sr2GeH2: optimized geometry, GGA-PBE.

Results
- raw total energy (eV/atom) = -3.35
- D(E_F) (states/eV per atom) = 0.24
- theoretical density (g/cm3) = 4.31
- total magnetization (μB/cell) = 0.0

Cell lengths 3.441, 3.455, 16.192 Å; angles 90.00, 90.00, 90.00 degrees
Space group Immm (No. 71)
One atom of each set of equivalent atoms:
Sr 0.000 0.000 0.143 (multiplicity 4)
Ge 0.000 0.000 0.500 (multiplicity 2)
H 0.000 0.000 0.299 (multiplicity 4)


# 4
ZrTaBr2: optimized geometry, GGA-PBE.

Results
- raw total energy (eV/atom) = -6.30
- D(E_F) (states/eV per atom) = 0.91
- theoretical density (g/cm3) = 7.44
- total magnetization (μB/cell) = 0.0

Cell lengths 3.183, 3.183, 9.524 Å; angles 90.00, 90.00, 90.00 degrees
Space group P4mm (No. 99)
One atom of each set of equivalent atoms:
Zr 0.000 0.000 0.000 (multiplicity 1)
Ta 0.500 0.500 0.762 (multiplicity 1)
Br 0.000 0.000 0.583 (multiplicity 1)
Br 0.500 0.500 0.192 (multiplicity 1)


# 5
Li5AsPt6: optimized geometry, GGA-PBE.

Results
- D(E_F) (states/eV per atom) = 0.26
- theoretical density (g/cm3) = 13.39
- ΔH_f (0 K) (eV per atom) = -0.545
- total magnetization (μB/cell) = 0.0

Cell lengths 4.249, 5.906, 12.648 Å; angles 90.00, 90.00, 90.00 degrees
Space group Immm (No. 71)
One atom of each set of equivalent atoms:
Li 0.000 0.000 0.000 (multiplicity 2)
Li 0.000 0.000 0.332 (multiplicity 4)
Li 0.000 0.500 0.331 (multiplicity 4)
As 0.000 0.500 0.000 (multiplicity 2)
Pt 0.000 0.248 0.167 (multiplicity 8)
Pt 0.000 0.254 0.500 (multiplicity 4)


# 6
Ac3LaDy3: optimized geometry, GGA-PBE.

Results
- D(E_F) (states/eV per atom) = 1.74
- theoretical density (g/cm3) = 8.12
- ΔH_f (0 K) (eV per atom) = 0.059
- total magnetization (μB/cell) = 0.0

Cell lengths 10.1177, 10.1177, 6.0314 Å; angles 90.00, 90.00, 120.00 degrees
Space group P6_3/m (No. 176)
One atom of each set of equivalent atoms:
Ac 0.0927 0.6315 0.2500 (multiplicity 6)
La 0.3333 0.6667 0.7500 (multiplicity 2)
Dy 0.0434 0.8197 0.7500 (multiplicity 6)